1.
A relaxed AlTe3I crystal. Source: Alexandria via LeMat-Bulk, functional GGA-PBE.

The structure in POSCAR format:
```
AlTe3I
1.0
5.394 0.000 0.000
0.000 5.394 0.000
0.000 0.000 5.394
Al Te I
1 3 1
direct
0.000 0.000 0.000
0.000 0.000 0.500
0.000 0.500 0.000
0.500 0.000 0.000
0.500 0.500 0.500
```

Values from the calculation:
- Formation energy without anion corrections: 126 kJ/mol of formula units
- Energy relative to the lowest polymorph listed for this composition: 0.00 eV per formula unit
- Space group: Pm-3m (221)
- Fermi-level density of states: 4.67 states/eV/f.u.

2.
A relaxed AlTeI2 crystal. Source: Alexandria via LeMat-Bulk, functional GGA-PBE.

The structure in POSCAR format:
```
AlTeI2
1.0
-5.440 5.440 2.710
5.440 -5.440 2.710
5.440 5.440 -2.710
Al Te I
2 2 4
direct
0.000 0.000 0.000
0.750 0.250 0.500
0.250 0.750 0.500
0.500 0.500 0.000
0.375 0.049 0.174
0.799 0.625 0.674
0.875 0.201 0.826
0.951 0.125 0.326
```

Values from the calculation:
- Formation energy without anion corrections: 6 kJ/mol of formula units
- Energy relative to the lowest polymorph listed for this composition: 0.00 eV per formula unit
- Space group: I-42d (122)
- Fermi-level density of states: 5.28 states/eV/f.u.

3.
A relaxed Al2TeI2 crystal. Source: Alexandria via LeMat-Bulk, functional GGA-PBE.

The structure in POSCAR format:
```
Al2TeI2
1.0
8.793 0.000 0.000
0.000 8.793 0.000
0.000 0.000 4.376
Al Te I
4 2 4
direct
0.153 0.347 0.000
0.347 0.847 0.000
0.653 0.153 0.000
0.847 0.653 0.000
0.000 0.000 0.500
0.500 0.500 0.500
0.166 0.666 0.500
0.334 0.166 0.500
0.666 0.834 0.500
0.834 0.334 0.500
```

Values from the calculation:
- Formation energy without anion corrections: 175 kJ/mol of formula units
- Energy relative to the lowest polymorph listed for this composition: 0.19 eV per formula unit
- Space group: P4/mbm (127)
- Fermi-level density of states: 0.08 states/eV/f.u.

4.
A relaxed Al2TeI crystal. Source: Alexandria via LeMat-Bulk, functional GGA-PBE.

The structure in POSCAR format:
```
Al2TeI
1.0
-3.916 3.916 4.131
3.916 -3.916 4.131
3.916 3.916 -4.131
Al Te I
4 2 2
direct
0.104 0.625 0.979
0.375 0.354 0.479
0.646 0.125 0.021
0.875 0.896 0.521
0.000 0.000 0.000
0.750 0.250 0.500
0.250 0.750 0.500
0.500 0.500 0.000
```

Values from the calculation:
- Formation energy without anion corrections: 47 kJ/mol of formula units
- Energy relative to the lowest polymorph listed for this composition: 0.00 eV per formula unit
- Space group: I-42d (122)
- Fermi-level density of states: 2.03 states/eV/f.u.

5.
A relaxed AlTeI crystal. Source: Alexandria via LeMat-Bulk, functional GGA-PBE.

The structure in POSCAR format:
```
AlTeI
1.0
4.023 0.000 0.000
-2.012 3.484 0.000
0.000 0.000 7.570
Al Te I
1 1 1
direct
0.000 0.000 0.000
0.333 0.667 0.817
0.667 0.333 0.249
```

Values from the calculation:
- Formation energy without anion corrections: -134 kJ/mol of formula units
- Space group: P3m1 (156)

6.
A relaxed AlTeI7 crystal. Source: Alexandria via LeMat-Bulk, functional GGA-PBE.

The structure in POSCAR format:
```
AlTeI7
1.0
8.285 0.000 0.000
0.000 7.574 0.000
-3.762 0.000 14.947
Al Te I
2 2 14
direct
0.000 0.008 0.000
0.000 0.992 0.500
0.674 0.396 0.853
0.674 0.604 0.353
0.007 0.142 0.847
0.007 0.858 0.347
0.036 0.326 0.502
0.036 0.674 0.002
0.231 0.154 0.121
0.231 0.846 0.621
0.427 0.422 0.409
0.427 0.578 0.909
0.466 0.152 0.744
0.466 0.848 0.244
0.715 0.097 0.028
0.715 0.903 0.528
0.724 0.385 0.219
0.724 0.615 0.719
```

Values from the calculation:
- Formation energy without anion corrections: -318 kJ/mol of formula units
- Space group: Pc (7)
- Fermi-level density of states: 0.00 states/eV/f.u.

7.
A relaxed AlTe3I crystal. Source: Alexandria via LeMat-Bulk, functional GGA-PBE.

The structure in POSCAR format:
```
AlTe3I
1.0
5.898 0.000 0.000
0.000 5.898 0.000
0.000 0.000 5.898
Al Te I
1 3 1
direct
0.000 0.000 0.000
0.000 0.500 0.500
0.500 0.000 0.500
0.500 0.500 0.000
0.500 0.500 0.500
```

Values from the calculation:
- Formation energy without anion corrections: 400 kJ/mol of formula units
- Energy relative to the lowest polymorph listed for this composition: 2.84 eV per formula unit
- Space group: Pm-3m (221)
- Fermi-level density of states: 6.53 states/eV/f.u.

8.
A relaxed Al2TeI8 crystal. Source: Alexandria via LeMat-Bulk, functional GGA-PBE.

The structure in POSCAR format:
```
Al2TeI8
1.0
6.418 -5.526 0.000
6.418 5.526 0.000
-0.444 0.000 8.649
Al Te I
2 1 8
direct
0.213 0.213 0.309
0.787 0.787 0.691
0.000 0.000 0.000
0.095 0.729 0.773
0.244 0.244 0.597
0.271 0.905 0.227
0.370 0.370 0.148
0.630 0.630 0.852
0.729 0.095 0.773
0.756 0.756 0.403
0.905 0.271 0.227
```

Values from the calculation:
- Formation energy without anion corrections: -515 kJ/mol of formula units
- Space group: C2/m (12)

9.
A relaxed Al2TeI2 crystal. Source: Alexandria via LeMat-Bulk, functional GGA-PBE.

The structure in POSCAR format:
```
Al2TeI2
1.0
-2.655 2.655 5.653
2.655 -2.655 5.653
2.655 2.655 -5.653
Al Te I
2 1 2
direct
0.250 0.750 0.500
0.750 0.250 0.500
0.000 0.000 0.000
0.344 0.344 0.000
0.656 0.656 0.000
```

Values from the calculation:
- Formation energy without anion corrections: 156 kJ/mol of formula units
- Energy relative to the lowest polymorph listed for this composition: 0.00 eV per formula unit
- Space group: I4/mmm (139)
- Fermi-level density of states: 2.36 states/eV/f.u.

10.
A relaxed AlTeI2 crystal. Source: Alexandria via LeMat-Bulk, functional GGA-PBE.

The structure in POSCAR format:
```
AlTeI2
1.0
0.000 3.970 3.970
3.970 0.000 3.970
3.970 3.970 0.000
Al Te I
1 1 2
direct
0.000 0.000 0.000
0.500 0.500 0.500
0.250 0.250 0.250
0.750 0.750 0.750
```

Values from the calculation:
- Formation energy without anion corrections: 163 kJ/mol of formula units
- Energy relative to the lowest polymorph listed for this composition: 1.62 eV per formula unit
- Space group: Fm-3m (225)
- Fermi-level density of states: 5.69 states/eV/f.u.

11.
A relaxed Al2TeI crystal. Source: Alexandria via LeMat-Bulk, functional GGA-PBE.

The structure in POSCAR format:
```
Al2TeI
1.0
0.000 3.714 3.714
3.714 0.000 3.714
3.714 3.714 0.000
Al Te I
2 1 1
direct
0.250 0.250 0.250
0.750 0.750 0.750
0.000 0.000 0.000
0.500 0.500 0.500
```

Values from the calculation:
- Formation energy without anion corrections: 71 kJ/mol of formula units
- Energy relative to the lowest polymorph listed for this composition: 0.25 eV per formula unit
- Space group: Fm-3m (225)
- Fermi-level density of states: 1.73 states/eV/f.u.

12.
A relaxed TiAlTe2I crystal. Source: Alexandria via LeMat-Bulk, functional GGA-PBE.

The structure in POSCAR format:
```
TiAlTe2I
1.0
5.343 0.000 0.000
0.000 5.343 0.000
0.000 0.000 5.344
Ti Al Te I
1 1 2 1
direct
0.000 0.000 0.000
0.500 0.500 0.500
0.000 0.500 0.500
0.500 0.000 0.500
0.500 0.500 0.000
```

Values from the calculation:
- Formation energy without anion corrections: 232 kJ/mol of formula units
- Energy relative to the lowest polymorph listed for this composition: 2.71 eV per formula unit
- Space group: P4/mmm (123)
- Fermi-level density of states: 8.59 states/eV/f.u.

Repeat the ninth record exactly.
A relaxed Al2TeI2 crystal. Source: Alexandria via LeMat-Bulk, functional GGA-PBE.

The structure in POSCAR format:
```
Al2TeI2
1.0
-2.655 2.655 5.653
2.655 -2.655 5.653
2.655 2.655 -5.653
Al Te I
2 1 2
direct
0.250 0.750 0.500
0.750 0.250 0.500
0.000 0.000 0.000
0.344 0.344 0.000
0.656 0.656 0.000
```

Values from the calculation:
- Formation energy without anion corrections: 156 kJ/mol of formula units
- Energy relative to the lowest polymorph listed for this composition: 0.00 eV per formula unit
- Space group: I4/mmm (139)
- Fermi-level density of states: 2.36 states/eV/f.u.

What did the fourth record say?
A relaxed Al2TeI crystal. Source: Alexandria via LeMat-Bulk, functional GGA-PBE.

The structure in POSCAR format:
```
Al2TeI
1.0
-3.916 3.916 4.131
3.916 -3.916 4.131
3.916 3.916 -4.131
Al Te I
4 2 2
direct
0.104 0.625 0.979
0.375 0.354 0.479
0.646 0.125 0.021
0.875 0.896 0.521
0.000 0.000 0.000
0.750 0.250 0.500
0.250 0.750 0.500
0.500 0.500 0.000
```

Values from the calculation:
- Formation energy without anion corrections: 47 kJ/mol of formula units
- Energy relative to the lowest polymorph listed for this composition: 0.00 eV per formula unit
- Space group: I-42d (122)
- Fermi-level density of states: 2.03 states/eV/f.u.